LiSm2ThSe4 after structural relaxation. Source: the Alexandria database, functional PBE.

The space group is P2/m (No. 10) and the conventional cell measures 7.1485, 4.1326 and 7.2043 Å, with angles of 90.00, 109.02 and 90.00 degrees. The inequivalent atoms are Li at (0.0000, 0.0000, 0.0000), Sm at (0.5000, 0.0000, 0.5000), Sm at (0.5000, 0.5000, 0.0000), Th at (0.0000, 0.5000, 0.5000), Se at (0.2406, 0.5000, 0.2399) and Se at (0.2435, 0.0000, 0.7615).

As for the size of the total moment: 0.000 μB/cell. The final energy is -5.7634 eV per atom.